[1]
VASP calculation (PBE-GGA) on a relaxed ScCu3H crystal.

a = 3.9444 Å, b = 3.9444 Å, c = 3.9444 Å
α = 90.00°, β = 90.00°, γ = 90.00°
With the nearest neighbours (Å) after each atom.
Fractional positions:
Sc: 0.0000 0.0000 0.0000  12 Cu 2.79
Cu: 0.0000 0.5000 0.5000  2 H 1.97
Cu: 0.5000 0.0000 0.5000  2 H 1.97
Cu: 0.5000 0.5000 0.0000  2 H 1.97
H: 0.5000 0.5000 0.5000  6 Cu 1.97

Space group   No. 221
Raw total energy   -4.290 eV per atom
Crystal system   cubic
Mass density   6.40 g cm⁻³

***

[2]
VASP calculation (PBE-GGA) on a relaxed Al2Pd2Ru crystal.

a = 8.5327 Å, b = 8.5327 Å, c = 2.9781 Å
α = 90.00°, β = 90.00°, γ = 160.04°
With the nearest neighbours (Å) after each atom.
Fractional positions:
Al: 0.0886 0.9114 0.0000  4 Ru 2.57, 4 Pd 2.60
Al: 0.9114 0.0886 0.0000  4 Ru 2.57, 4 Pd 2.60
Pd: 0.3204 0.6796 0.5000  4 Al 2.60, 2 Pd 2.79
Pd: 0.6796 0.3204 0.5000  4 Al 2.60, 2 Pd 2.79
Ru: 0.5000 0.5000 0.5000  8 Al 2.57

E_form   -0.6750 eV/atom
Space group   No. 65
Crystal system   orthorhombic
Mass density   8.25 g cm⁻³

***

[3]
VASP calculation (PBE-GGA) on a relaxed BeGa2TeW crystal.

a = 4.9895 Å, b = 4.9895 Å, c = 4.5506 Å
α = 90.00°, β = 90.00°, γ = 90.00°
With the nearest neighbours (Å) after each atom.
Fractional positions:
Be: 0.0000 0.0000 0.0000  2 W 2.28
Ga: 0.0000 0.5000 0.5000  2 W 2.49
Ga: 0.5000 0.0000 0.5000  2 W 2.49
Te: 0.5000 0.5000 0.0000  8 Ga 3.38, 4 Be 3.53
W: 0.0000 0.0000 0.5000  2 Be 2.28, 4 Ga 2.49

Space group   No. 123
ΔE_f (raw)   93 kJ/mol of atoms
Crystal system   tetragonal
Mass density   6.74 g cm⁻³

***

[4]
VASP calculation (PBE-GGA) on a relaxed Pm3Pr2Y6Mg crystal.

a = 6.2201 Å, b = 6.2201 Å, c = 11.8991 Å
α = 95.01°, β = 95.01°, γ = 120.02°
With the nearest neighbours (Å) after each atom.
Fractional positions:
Pm: 0.0000 0.0000 0.0000  6 Pm 3.59-3.60, 6 Y 3.60
Pm: 0.3341 0.6659 0.0000  6 Pm 3.57-3.60, 6 Y 3.58-3.61
Pm: 0.6659 0.3341 0.0000  6 Pm 3.57-3.60, 6 Y 3.58-3.61
Pr: 0.1661 0.8339 0.5000  3 Pr 3.58-3.60, 6 Y 3.58-3.59, 3 Mg 3.59-3.60
Pr: 0.8339 0.1661 0.5000  3 Pr 3.58-3.60, 6 Y 3.58-3.59, 3 Mg 3.59-3.60
Y: 0.0866 0.4174 0.2511  6 Y 3.56-3.61, 1 Mg 3.57, 2 Pr 3.58, 3 Pm 3.59-3.61
Y: 0.2518 0.2518 0.7499  6 Y 3.57-3.61, 3 Pm 3.58-3.60, 1 Mg 3.58, 2 Pr 3.59
Y: 0.4174 0.0866 0.2511  6 Y 3.56-3.61, 1 Mg 3.57, 2 Pr 3.58, 3 Pm 3.59-3.61
Y: 0.5826 0.9134 0.7489  6 Y 3.56-3.61, 1 Mg 3.57, 2 Pr 3.58, 3 Pm 3.59-3.61
Y: 0.7482 0.7482 0.2501  6 Y 3.57-3.61, 3 Pm 3.58-3.60, 1 Mg 3.58, 2 Pr 3.59
Y: 0.9134 0.5826 0.7489  6 Y 3.56-3.61, 1 Mg 3.57, 2 Pr 3.58, 3 Pm 3.59-3.61
Mg: 0.5000 0.5000 0.5000  6 Y 3.57-3.58, 6 Pr 3.59-3.60

E_form   0.0173 eV/atom
Space group   No. 12
Crystal system   monoclinic
Mass density   5.39 g cm⁻³

***

[5]
VASP calculation (PBE-GGA) on a relaxed ScCoSn2 crystal.

a = 3.4204 Å, b = 5.8661 Å, c = 8.5336 Å
α = 97.53°, β = 101.34°, γ = 90.31°
With the nearest neighbours (Å) after each atom.
Fractional positions:
Sc: 0.1229 0.1237 0.2485  2 Co 2.58-2.59
Sc: 0.8771 0.8763 0.7515  2 Co 2.58-2.59
Co: 0.3696 0.5444 0.7419  2 Sc 2.58-2.59, 5 Sn 2.61-2.74
Co: 0.6304 0.4556 0.2581  2 Sc 2.58-2.59, 5 Sn 2.61-2.74
Sn: 0.2252 0.6975 0.4462  3 Co 2.61-2.74
Sn: 0.4840 0.2509 0.9596  2 Co 2.62-2.67, 1 Sn 2.91
Sn: 0.5160 0.7491 0.0404  2 Co 2.62-2.67, 1 Sn 2.91
Sn: 0.7748 0.3025 0.5538  3 Co 2.61-2.74

E_form   -0.2464 eV/atom
Space group   No. 2
Crystal system   triclinic
Mass density   6.81 g cm⁻³

***

[6]
VASP calculation (PBE-GGA) on a relaxed KTb2Hg3 crystal.

a = 3.7550 Å, b = 3.7550 Å, c = 12.2688 Å
α = 90.00°, β = 90.00°, γ = 90.00°
With the nearest neighbours (Å) after each atom.
Fractional positions:
K: 0.0000 0.0000 0.0000  8 Hg 3.68, 4 K 3.75
Tb: 0.0000 0.0000 0.3466  8 Hg 3.15-3.25
Tb: 0.0000 0.0000 0.6534  8 Hg 3.15-3.25
Hg: 0.5000 0.5000 0.2079  4 Tb 3.15
Hg: 0.5000 0.5000 0.5000  8 Tb 3.25, 2 Hg 3.58
Hg: 0.5000 0.5000 0.7921  4 Tb 3.15

E_form   -0.3762 eV/atom
Space group   No. 123
Crystal system   tetragonal
Mass density   9.20 g cm⁻³

***

[7]
VASP calculation (PBE-GGA) on a relaxed YAsSeN2 crystal.

a = 4.4344 Å, b = 4.4344 Å, c = 5.7622 Å
α = 90.00°, β = 90.00°, γ = 90.00°
With the nearest neighbours (Å) after each atom.
Fractional positions:
Y: 0.0000 0.0000 0.0000  4 N 2.22
As: 0.5000 0.5000 0.5000  4 Se 3.14
Se: 0.0000 0.0000 0.5000  2 Y 2.88, 4 As 3.14
N: 0.0000 0.5000 0.0000  2 Y 2.22
N: 0.5000 0.0000 0.0000  2 Y 2.22

Space group   No. 123
ΔE_f (raw)   91 kJ/mol of atoms
Crystal system   tetragonal
Mass density   3.97 g cm⁻³

***

[8]
VASP calculation (PBE-GGA) on a relaxed TbSm6Dy3Th2 crystal.

a = 6.2188 Å, b = 6.2188 Å, c = 11.9410 Å
α = 94.99°, β = 94.99°, γ = 119.93°
With the nearest neighbours (Å) after each atom.
Fractional positions:
Tb: 0.0000 0.0000 0.0000  6 Th 3.59, 6 Sm 3.59-3.60
Sm: 0.0829 0.4195 0.2481  6 Sm 3.57-3.63, 2 Th 3.57, 1 Tb 3.59, 3 Dy 3.60-3.62
Sm: 0.2539 0.2539 0.7515  6 Sm 3.57-3.63, 2 Th 3.58, 1 Tb 3.60, 3 Dy 3.60-3.62
Sm: 0.4195 0.0829 0.2481  6 Sm 3.57-3.63, 2 Th 3.57, 1 Tb 3.59, 3 Dy 3.60-3.62
Sm: 0.5805 0.9171 0.7519  6 Sm 3.57-3.63, 2 Th 3.57, 1 Tb 3.59, 3 Dy 3.60-3.62
Sm: 0.7461 0.7461 0.2485  6 Sm 3.57-3.63, 2 Th 3.58, 1 Tb 3.60, 3 Dy 3.60-3.62
Sm: 0.9171 0.5805 0.7519  6 Sm 3.57-3.63, 2 Th 3.57, 1 Tb 3.59, 3 Dy 3.60-3.62
Dy: 0.1667 0.8333 0.5000  6 Dy 3.59, 6 Sm 3.60-3.62
Dy: 0.5000 0.5000 0.5000  6 Dy 3.59, 6 Sm 3.60-3.62
Dy: 0.8333 0.1667 0.5000  6 Dy 3.59, 6 Sm 3.60-3.62
Th: 0.3335 0.6666 0.0000  6 Sm 3.57-3.58, 3 Th 3.59, 3 Tb 3.59
Th: 0.6666 0.3335 0.0000  6 Sm 3.57-3.58, 3 Th 3.59, 3 Tb 3.59

E_form   0.0342 eV/atom
Space group   No. 12
Crystal system   monoclinic
Mass density   8.48 g cm⁻³

***

[9]
VASP calculation (PBE-GGA) on a relaxed Cr2CdRh crystal.

a = 5.1367 Å, b = 5.1367 Å, c = 5.1367 Å
α = 145.21°, β = 131.25°, γ = 61.28°
With the nearest neighbours (Å) after each atom.
Fractional positions:
Cr: 0.2416 0.2416 0.0000  4 Cr 2.62, 2 Rh 2.63, 2 Cd 2.75
Cr: 0.7584 0.7584 0.0000  4 Cr 2.62, 2 Rh 2.63, 2 Cd 2.75
Cd: 0.5000 0.0000 0.5000  4 Rh 2.62, 4 Cr 2.75
Rh: 0.0000 0.5000 0.5000  4 Cd 2.62, 4 Cr 2.63

E_form   0.4262 eV/atom
Space group   No. 71
Crystal system   orthorhombic
Mass density   9.21 g cm⁻³

***

[10]
VASP calculation (PBE-GGA) on a relaxed Pa2Ni4P3Ru crystal.

a = 3.8179 Å, b = 3.8179 Å, c = 10.0330 Å
α = 90.00°, β = 90.00°, γ = 90.00°
With the nearest neighbours (Å) after each atom.
Fractional positions:
Pa: 0.0000 0.5000 0.2504  8 Ni 2.84-3.16, 6 P 2.99-3.15, 2 Ru 3.15
Pa: 0.5000 0.0000 0.7496  8 Ni 2.84-3.16, 6 P 2.99-3.15, 2 Ru 3.15
Ni: 0.0000 0.0000 0.0000  4 P 2.27
Ni: 0.0000 0.5000 0.6602  1 P 2.18
Ni: 0.5000 0.0000 0.3398  1 P 2.18
Ni: 0.5000 0.5000 0.0000  4 P 2.27
P: 0.0000 0.5000 0.8776  5 Ni 2.18-2.27
P: 0.5000 0.0000 0.1224  5 Ni 2.18-2.27
P: 0.5000 0.5000 0.5000  4 Ni 2.50, 4 Ru 2.70
Ru: 0.0000 0.0000 0.5000  4 Ni 2.50, 4 P 2.70

E_form   -0.7598 eV/atom
Space group   No. 115
Crystal system   tetragonal
Mass density   10.12 g cm⁻³

***

[11]
VASP calculation (PBE-GGA) on a relaxed Dy4Ho2H crystal.

a = 9.1674 Å, b = 9.1674 Å, c = 9.1674 Å
α = 149.52°, β = 149.52°, γ = 43.64°
With the nearest neighbours (Å) after each atom.
Fractional positions:
Dy: 0.0000 0.5000 0.5000  2 H 2.41
Dy: 0.1493 0.1493 0.0000  1 H 2.54
Dy: 0.5000 0.0000 0.5000  2 H 2.41
Dy: 0.8507 0.8507 0.0000  1 H 2.54
Ho: 0.3523 0.3523 0.0000  9 Dy 3.41-3.48
Ho: 0.6477 0.6477 0.0000  9 Dy 3.41-3.48
H: 0.0000 0.0000 0.0000  6 Dy 2.41-2.54

Space group   No. 139
Raw total energy   -4.347 eV per atom
Crystal system   tetragonal
Mass density   8.24 g cm⁻³

***

[12]
VASP calculation (PBE-GGA) on a relaxed Y2Zr2Ni15 crystal.

a = 6.4342 Å, b = 6.4342 Å, c = 6.4342 Å
α = 82.17°, β = 82.17°, γ = 82.17°
With the nearest neighbours (Å) after each atom.
Fractional positions:
Y: 0.1440 0.1440 0.1440  12 Ni 2.93-3.09, 1 Zr 3.11
Y: 0.8560 0.8560 0.8560  12 Ni 2.93-3.09, 1 Zr 3.11
Zr: 0.3914 0.3914 0.3914  6 Ni 2.55-2.63, 1 Zr 2.73
Zr: 0.6086 0.6086 0.6086  6 Ni 2.55-2.63, 1 Zr 2.73
Ni: 0.0000 0.5000 0.5000  8 Ni 2.46-2.47, 2 Zr 2.55
Ni: 0.1531 0.1531 0.6612  8 Ni 2.42-2.59, 1 Zr 2.63
Ni: 0.1531 0.6612 0.1531  8 Ni 2.42-2.59, 1 Zr 2.63
Ni: 0.1974 0.5000 0.8026  8 Ni 2.47-2.59
Ni: 0.1974 0.8026 0.5000  8 Ni 2.47-2.59
Ni: 0.3388 0.8469 0.8469  8 Ni 2.42-2.59, 1 Zr 2.63
Ni: 0.5000 0.0000 0.5000  8 Ni 2.46-2.47, 2 Zr 2.55
Ni: 0.5000 0.1974 0.8026  8 Ni 2.47-2.59
Ni: 0.5000 0.5000 0.0000  8 Ni 2.46-2.47, 2 Zr 2.55
Ni: 0.5000 0.8026 0.1974  8 Ni 2.47-2.59
Ni: 0.6612 0.1531 0.1531  8 Ni 2.42-2.59, 1 Zr 2.63
Ni: 0.8026 0.1974 0.5000  8 Ni 2.47-2.59
Ni: 0.8026 0.5000 0.1974  8 Ni 2.47-2.59
Ni: 0.8469 0.3388 0.8469  8 Ni 2.42-2.59, 1 Zr 2.63
Ni: 0.8469 0.8469 0.3388  8 Ni 2.42-2.59, 1 Zr 2.63

E_form   -0.2745 eV/atom
Space group   No. 166
Crystal system   trigonal
Mass density   7.94 g cm⁻³

***

What did the seventh record say?
VASP calculation (PBE-GGA) on a relaxed YAsSeN2 crystal.

a = 4.4344 Å, b = 4.4344 Å, c = 5.7622 Å
α = 90.00°, β = 90.00°, γ = 90.00°
With the nearest neighbours (Å) after each atom.
Fractional positions:
Y: 0.0000 0.0000 0.0000  4 N 2.22
As: 0.5000 0.5000 0.5000  4 Se 3.14
Se: 0.0000 0.0000 0.5000  2 Y 2.88, 4 As 3.14
N: 0.0000 0.5000 0.0000  2 Y 2.22
N: 0.5000 0.0000 0.0000  2 Y 2.22

Space group   No. 123
ΔE_f (raw)   91 kJ/mol of atoms
Crystal system   tetragonal
Mass density   3.97 g cm⁻³

***

Question: Which of these has the lowest mass density?
Answer: YAsSeN2